# GdPbAu GGA-PBE optimized geometry
data_GdPbAu
_cell_length_a 4.8708
_cell_length_b 4.8708
_cell_length_c 4.8708
_cell_angle_alpha 60.00
_cell_angle_beta 60.00
_cell_angle_gamma 60.00
_symmetry_space_group_name_H-M 'P 1'
_symmetry_Int_Tables_number 1
loop_
_symmetry_equiv_pos_as_xyz
'x,y,z'
loop_
_atom_site_label
_atom_site_type_symbol
_atom_site_fract_x
_atom_site_fract_y
_atom_site_fract_z
Gd1 Gd 0.0000 0.0000 0.0000
Pb1 Pb 0.5000 0.5000 0.5000
Au1 Au 0.7500 0.7500 0.7500
# M_tot ... 7.02 Bohr magnetons per cell
# DFT formation energy ... -0.678 eV per atom
# N(E_F) ... 1.215 states/eV/f.u.

# Ce3Sb2O2 GGA-PBE optimized geometry
data_Ce3Sb2O2
_cell_length_a 6.5290
_cell_length_b 6.5290
_cell_length_c 7.1624
_cell_angle_alpha 104.81
_cell_angle_beta 104.81
_cell_angle_gamma 37.70
_symmetry_space_group_name_H-M 'P 1'
_symmetry_Int_Tables_number 1
loop_
_symmetry_equiv_pos_as_xyz
'x,y,z'
loop_
_atom_site_label
_atom_site_type_symbol
_atom_site_fract_x
_atom_site_fract_y
_atom_site_fract_z
Ce1 Ce 0.0000 0.0000 0.0000
Ce2 Ce 0.3055 0.3055 0.2207
Ce3 Ce 0.6945 0.6945 0.7793
Sb1 Sb 0.3922 0.3922 0.6853
Sb2 Sb 0.6078 0.6078 0.3147
O1 O 0.1665 0.1665 0.9112
O2 O 0.8335 0.8335 0.0888
# M_tot ... 2.03 Bohr magnetons per cell
# Formation energy without anion corrections ... -14.40 eV per formula unit
# N(E_F) ... 16.082 states/eV/f.u.

# ErPaO2 GGA-PBE optimized geometry
data_ErPaO2
_cell_length_a 6.2511
_cell_length_b 6.2511
_cell_length_c 6.2511
_cell_angle_alpha 30.83
_cell_angle_beta 30.83
_cell_angle_gamma 30.83
_symmetry_space_group_name_H-M 'P 1'
_symmetry_Int_Tables_number 1
loop_
_symmetry_equiv_pos_as_xyz
'x,y,z'
loop_
_atom_site_label
_atom_site_type_symbol
_atom_site_fract_x
_atom_site_fract_y
_atom_site_fract_z
Er1 Er 0.0000 0.0000 0.0000
Pa1 Pa 0.5000 0.5000 0.5000
O1 O 0.2608 0.2608 0.2608
O2 O 0.7392 0.7392 0.7392
# M_tot ... 0.00 Bohr magnetons per cell
# Formation energy without anion corrections ... -10.65 eV per formula unit
# N(E_F) ... 2.770 states/eV/f.u.